1.
A relaxed structure of KFeIr. Source: Alexandria via LeMat-Bulk, functional PBE-GGA.

abc: 3.9100 3.9100 5.5509
angles: 90.00 90.00 120.00
Closest atoms and distances in Å follow each position.
Atoms (fractional coordinates):
K: 0.6667 0.3333 0.5000  6 Ir 3.58, 6 Fe 3.58, 6 K 3.91
Ir: 0.3333 0.6667 0.0000  3 Fe 2.26
Fe: 0.0000 0.0000 0.0000  3 Ir 2.26

Summary:
* E_form: 17.50 kcal/mol of atoms
* space group: P-6m2
* energy above the most stable polymorph in this dataset: 411.5 meV per atom

2.
A relaxed structure of KFeIr. Source: Alexandria via LeMat-Bulk, functional PBE-GGA.

abc: 6.6561 4.3032 11.6154
angles: 90.00 90.00 90.00
Closest atoms and distances in Å follow each position.
Atoms (fractional coordinates):
K: 0.8772 0.2500 0.3616  5 Ir 3.39-3.58, 5 Fe 3.55-3.66
K: 0.6228 0.7500 0.8616  5 Ir 3.39-3.58, 5 Fe 3.55-3.66
K: 0.1228 0.7500 0.6384  5 Ir 3.39-3.58, 5 Fe 3.55-3.66
K: 0.3772 0.2500 0.1384  5 Ir 3.39-3.58, 5 Fe 3.55-3.66
Ir: 0.3643 0.2500 0.4463  3 Fe 2.29-2.30
Ir: 0.1357 0.7500 0.9463  3 Fe 2.29-2.30
Ir: 0.6357 0.7500 0.5537  3 Fe 2.29-2.30
Ir: 0.8643 0.2500 0.0537  3 Fe 2.29-2.30
Fe: 0.0634 0.2500 0.8915  3 Ir 2.29-2.30
Fe: 0.4366 0.7500 0.3915  3 Ir 2.29-2.30
Fe: 0.9366 0.7500 0.1085  3 Ir 2.29-2.30
Fe: 0.5634 0.2500 0.6085  3 Ir 2.29-2.30

Summary:
* E_form: 19.27 kcal/mol of atoms
* space group: Pnma
* energy above the most stable polymorph in this dataset: 488.4 meV per atom

3.
A relaxed structure of KFeIr. Source: Alexandria via LeMat-Bulk, functional PBE-GGA.

abc: 4.3503 4.3503 4.3503
angles: 60.00 60.00 60.00
Closest atoms and distances in Å follow each position.
Atoms (fractional coordinates):
K: 0.2500 0.2500 0.2500  4 Fe 2.66
Ir: 0.7500 0.7500 0.7500  4 Fe 2.66
Fe: 0.0000 0.0000 0.0000  4 K 2.66, 4 Ir 2.66

Summary:
* E_form: 37.38 kcal/mol of atoms
* space group: F-43m
* energy above the most stable polymorph in this dataset: 1273.6 meV per atom

4.
A relaxed structure of KFeIr3. Source: Alexandria via LeMat-Bulk, functional PBE-GGA.

abc: 4.5939 4.5939 4.5939
angles: 90.00 90.00 90.00
Closest atoms and distances in Å follow each position.
Atoms (fractional coordinates):
K: 0.5000 0.5000 0.5000  12 Ir 3.25
Ir: 0.0000 0.5000 0.0000  2 Fe 2.30
Ir: 0.0000 0.0000 0.5000  2 Fe 2.30
Ir: 0.5000 0.0000 0.0000  2 Fe 2.30
Fe: 0.0000 0.0000 0.0000  6 Ir 2.30

Summary:
* E_form: 30.17 kcal/mol of atoms
* space group: Pm-3m
* energy above the most stable polymorph in this dataset: 0.0 meV per atom